Computed, not measured: a geometry-optimized Li4AcPt2 structure at the PBE level of DFT.

Lattice parameters (Å, degrees): 7.816 7.816 4.228 90.00 90.00 90.00
Sites, in units of the cell vectors:
Ac (0.000, 0.000, 0.000)
Ac (0.500, 0.500, 0.500)
Li (0.404, 0.150, 0.000)
Li (0.150, 0.404, 0.000)
Li (0.850, 0.596, 0.000)
Li (0.596, 0.850, 0.000)
Li (0.650, 0.096, 0.500)
Li (0.904, 0.350, 0.500)
Li (0.096, 0.650, 0.500)
Li (0.350, 0.904, 0.500)
Pt (0.711, 0.289, 0.000)
Pt (0.289, 0.711, 0.000)
Pt (0.211, 0.211, 0.500)
Pt (0.789, 0.789, 0.500)

Output
Mass density = 8.29 g/cm3
Final energy = -56.34 eV per cell